1.
Density functional theory data (PBE) for a relaxed Tb4Sm4Ho crystal.

Properties
ΔH_f (0 K) ... 0.02 eV/atom
Symmetry ... No. 139

Lattice parameters (Å, degrees): 8.0205 8.0205 8.0205 95.73 95.73 143.17
Last column: nearest neighbours and their distance in Å.
Fractional positions:
1 Tb 0.1661 0.1661 0.3322  4 Tb 3.57-3.60, 6 Sm 3.58-3.59, 2 Ho 3.58
2 Tb 0.1661 0.8339 0.0000  4 Tb 3.57-3.60, 6 Sm 3.58-3.59, 2 Ho 3.58
3 Tb 0.8339 0.1661 0.0000  4 Tb 3.57-3.60, 6 Sm 3.58-3.59, 2 Ho 3.58
4 Tb 0.8339 0.8339 0.6678  4 Tb 3.57-3.60, 6 Sm 3.58-3.59, 2 Ho 3.58
5 Sm 0.1680 0.5000 0.6680  1 Ho 3.57, 6 Tb 3.58-3.59, 5 Sm 3.60-3.62
6 Sm 0.5000 0.1680 0.6680  1 Ho 3.57, 6 Tb 3.58-3.59, 5 Sm 3.60-3.62
7 Sm 0.5000 0.8320 0.3320  1 Ho 3.57, 6 Tb 3.58-3.59, 5 Sm 3.60-3.62
8 Sm 0.8320 0.5000 0.3320  1 Ho 3.57, 6 Tb 3.58-3.59, 5 Sm 3.60-3.62
9 Ho 0.5000 0.5000 0.0000  4 Sm 3.57, 8 Tb 3.58

2.
Density functional theory data (PBE) for a relaxed CsAg2P2Se6 crystal.

Properties
Formation energy from raw total energies ... -0.293 eV per atom
Symmetry ... No. 2

Lattice parameters (Å, degrees): 6.9247 7.0867 8.8684 67.81 71.46 77.40
Last column: nearest neighbours and their distance in Å.
Fractional positions:
1 Cs 0.0000 0.0000 0.0000  8 Se 3.74-4.10
2 Ag 0.3663 0.7145 0.5525  3 Se 2.60-2.74
3 Ag 0.6337 0.2855 0.4475  3 Se 2.60-2.74
4 P 0.1229 0.4360 0.4021  3 Se 2.19-2.25, 1 P 2.32
5 P 0.8771 0.5640 0.5979  3 Se 2.19-2.25, 1 P 2.32
6 Se 0.0313 0.5820 0.7727  1 P 2.20
7 Se 0.2800 0.1395 0.5434  1 P 2.25
8 Se 0.3558 0.6509 0.2694  1 P 2.19
9 Se 0.6442 0.3491 0.7306  1 P 2.19
10 Se 0.7200 0.8605 0.4566  1 P 2.25
11 Se 0.9687 0.4180 0.2273  1 P 2.20

3.
Density functional theory data (PBE) for a relaxed PmThO crystal.

Properties
Formation energy from raw total energies ... -1.633 eV per atom
Symmetry ... No. 156

Lattice parameters (Å, degrees): 3.7724 3.7724 5.8036 90.00 90.00 120.00
Last column: nearest neighbours and their distance in Å.
Fractional positions:
1 Pm 0.0000 0.0000 0.0000  3 O 2.62
2 Th 0.3333 0.6667 0.4607  3 O 2.49
3 O 0.6667 0.3333 0.2519  3 Th 2.49, 3 Pm 2.62

4.
Density functional theory data (PBE) for a relaxed Ce2Tm3ScAs6 crystal.

Properties
ΔH_f (0 K) ... -1.44 eV/atom
Symmetry ... No. 12

Lattice parameters (Å, degrees): 9.1300 9.1300 8.1737 102.98 102.98 25.92
Last column: nearest neighbours and their distance in Å.
Fractional positions:
1 Ce 0.1643 0.1643 0.3296  6 As 2.89-2.95
2 Ce 0.8357 0.8357 0.6704  6 As 2.89-2.95
3 Tm 0.1674 0.1674 0.8349  6 As 2.85-2.93
4 Tm 0.5000 0.5000 0.5000  6 As 2.86-2.93
5 Tm 0.8326 0.8326 0.1651  6 As 2.85-2.93
6 Sc 0.5000 0.5000 0.0000  6 As 2.83-2.85
7 As 0.0027 0.0027 0.7585  2 Sc 2.85, 3 Tm 2.85-2.93, 1 Ce 2.89
8 As 0.3347 0.3347 0.4123  3 Tm 2.86-2.87, 3 Ce 2.94-2.95
9 As 0.3366 0.3366 0.9243  1 Sc 2.83, 3 Tm 2.85-2.93, 2 Ce 2.91
10 As 0.6634 0.6634 0.0757  1 Sc 2.83, 3 Tm 2.85-2.93, 2 Ce 2.91
11 As 0.6653 0.6653 0.5877  3 Tm 2.86-2.87, 3 Ce 2.94-2.95
12 As 0.9973 0.9973 0.2415  2 Sc 2.85, 3 Tm 2.85-2.93, 1 Ce 2.89

5.
Density functional theory data (PBE) for a relaxed AlCNO2 crystal.

Properties
Formation energy from raw total energies ... 0.466 eV per atom
Symmetry ... No. 123

Lattice parameters (Å, degrees): 3.9943 3.9943 2.5701 90.00 90.00 90.00
Last column: nearest neighbours and their distance in Å.
Fractional positions:
1 Al 0.0000 0.0000 0.0000  8 O 2.37, 2 Al 2.57
2 C 0.5000 0.5000 0.5000  2 N 1.29
3 N 0.5000 0.5000 0.0000  2 C 1.29
4 O 0.0000 0.5000 0.5000  2 C 2.00
5 O 0.5000 0.0000 0.5000  2 C 2.00

6.
Density functional theory data (PBE) for a relaxed NdDy2Fe crystal.

Properties
ΔH_f (0 K) ... 0.31 eV/atom
Symmetry ... No. 166

Lattice parameters (Å, degrees): 3.4925 3.4925 32.0835 90.00 90.00 120.00
Last column: nearest neighbours and their distance in Å.
Fractional positions:
1 Nd 0.0000 0.0000 0.0000  6 Nd 3.49, 2 Dy 3.51
2 Nd 0.3333 0.6667 0.6667  6 Nd 3.49, 2 Dy 3.51
3 Nd 0.6667 0.3333 0.3333  6 Nd 3.49, 2 Dy 3.51
4 Dy 0.0000 0.0000 0.1094  3 Fe 2.73
5 Dy 0.0000 0.0000 0.8906  3 Fe 2.73
6 Dy 0.3333 0.6667 0.5572  3 Fe 2.73
7 Dy 0.3333 0.6667 0.7761  3 Fe 2.73
8 Dy 0.6667 0.3333 0.2239  3 Fe 2.73
9 Dy 0.6667 0.3333 0.4428  3 Fe 2.73
10 Fe 0.0000 0.0000 0.5000  6 Dy 2.73
11 Fe 0.3333 0.6667 0.1667  6 Dy 2.73
12 Fe 0.6667 0.3333 0.8333  6 Dy 2.73